This record from Alexandria via LeMat-Bulk describes an optimized crystal structure of Nd8Ga3OsBr4. The functional is PBE.

abc: 8.5475 8.9379 8.5466
angles: 118.56 120.00 90.00
Positions (direct):
Nd  0.2278  0.7107  0.9829
Nd  0.2278  0.7107  0.4557
Nd  0.2559  0.2677  0.5118
Nd  0.7551  0.7107  0.9829
Nd  0.2449  0.2893  0.0171
Nd  0.7441  0.7323  0.4882
Nd  0.7722  0.2893  0.5443
Nd  0.7722  0.2893  0.0171
Ga  0.5000  0.5000  0.0000
Ga  0.5000  0.5000  0.5000
Ga  0.0000  0.5000  0.5000
Os  0.0000  0.5000  0.0000
Br  0.5000  0.0000  0.0000
Br  0.5000  0.0000  0.5000
Br  0.0000  0.0000  0.0000
Br  0.0000  0.0000  0.5000

- E_tot: -4.9077 eV/atom